A geometry-optimized NaMoF6 structure, computed with PBE+U.

As for the uncorrected energy: -40.045 eV/f.u. The density of states at the Fermi level comes out at 0.000 states/eV/cell.

Cell: 5.498 8.739 5.407 Å, 90.00 101.71 90.00°
Space group C2/m (No. 12)
Asymmetric unit:
Na (0.000, 0.000, 0.000)
Mo (0.000, 0.500, 0.500)
F (0.196, 0.350, 0.721)
F (0.235, 0.500, 0.287)